# 1
AlAg, relaxed, DFT PBE; crystal system = cubic; volume = 31.5 Å³/atom; energy of formation = 0.5783 eV per atom
1.0
7.9576 0.0000 0.0000
0.0000 7.9576 0.0000
0.0000 0.0000 7.9576
Al Ag
8 8
Direct
0.3083 0.3083 0.6917
0.8083 0.1917 0.8083
0.6917 0.3083 0.3083
0.1917 0.8083 0.8083
0.3083 0.6917 0.3083
0.1917 0.1917 0.1917
0.6917 0.6917 0.6917
0.8083 0.8083 0.1917
0.8699 0.1301 0.1301
0.6301 0.3699 0.6301
0.1301 0.1301 0.8699
0.1301 0.8699 0.1301
0.8699 0.8699 0.8699
0.3699 0.6301 0.6301
0.6301 0.6301 0.3699
0.3699 0.3699 0.3699


# 2
AlAg, relaxed, DFT PBE; crystal system = cubic; volume = 17.1 Å³/atom; energy of formation = 0.0187 eV per atom
1.0
-3.2677 -0.0625 -4.7782
-2.0429 -2.2365 4.9333
-2.1989 4.9399 -2.0677
Ag Al
4 4
Direct
0.5000 0.0000 0.0000
0.0000 0.5000 0.0000
0.0000 0.0000 0.5000
0.0000 0.0000 0.0000
0.5000 0.5000 0.0000
0.0000 0.5000 0.5000
0.5000 0.5000 0.5000
0.5000 0.0000 0.5000


Question: What is the formula in the second record?
Answer: AlAg